(1)
DFT (GGA-PBEsol) results for a geometry-optimized LaMnPt structure.

a b c (Å): 6.6410 6.6410 6.6410
angles (deg): 90.00 90.00 90.00
With the nearest neighbours (Å) after each atom.
Space group F-43m (No. 216)
One atom of each set of equivalent atoms:
La 0.0000 0.0000 0.0000 x4  4 Pt 2.88
Mn 0.0000 0.0000 0.5000 x4  4 Pt 2.88
Pt 0.2500 0.2500 0.2500 x4  4 Mn 2.88, 4 La 2.88

Summary:
The value obtained for the electronic total energy is -90.1 eV per cell.

(2)
DFT (GGA-PBEsol) results for a geometry-optimized La4MnPt structure.

a b c (Å): 8.6587 8.6587 8.6587
angles (deg): 90.00 90.00 90.00
With the nearest neighbours (Å) after each atom.
Space group F-43m (No. 216)
One atom of each set of equivalent atoms:
La 0.1243 0.1243 0.3757 x16  6 La 3.04-3.08
Mn 0.0000 0.0000 0.0000 x4  12 La 3.59, 4 Pt 3.75
Pt 0.2500 0.2500 0.7500 x4  12 La 3.59, 4 Mn 3.75

Summary:
The value obtained for the electronic total energy is -137.0 eV per cell.

(3)
DFT (GGA-PBEsol) results for a geometry-optimized LaMn2Pt structure.

a b c (Å): 5.6882 8.7753 2.9722
angles (deg): 90.00 111.76 90.00
With the nearest neighbours (Å) after each atom.
Space group C2/m (No. 12)
One atom of each set of equivalent atoms:
La 0.0000 0.0000 0.0000 x2  4 Mn 2.73, 2 Pt 2.84, 2 La 2.97
Mn 0.2500 0.2500 0.5000 x4  2 Pt 2.73, 2 La 2.73, 4 Mn 2.84-2.97
Pt 0.0000 0.5000 0.0000 x2  4 Mn 2.73, 2 La 2.84, 2 Pt 2.97

Summary:
The value obtained for the electronic total energy is -61.5 eV per cell.

(4)
DFT (GGA-PBEsol) results for a geometry-optimized LaMn2Pt structure.

a b c (Å): 3.0625 4.4888 5.5875
angles (deg): 90.00 104.13 90.00
With the nearest neighbours (Å) after each atom.
Space group P2/m (No. 10)
One atom of each set of equivalent atoms:
La 0.0000 0.0000 0.0000 x1  2 Pt 2.84, 2 La 3.06, 4 Mn 3.07
Mn 0.3232 0.5000 0.7100 x2  2 Pt 2.65, 2 Mn 2.68-2.81
Pt 0.5000 0.0000 0.5000 x1  4 Mn 2.65, 2 La 2.84

Summary:
The value obtained for the electronic total energy is -31.1 eV per cell.

(5)
DFT (GGA-PBEsol) results for a geometry-optimized LaMn2Re structure.

a b c (Å): 6.2761 6.2761 6.2761
angles (deg): 90.00 90.00 90.00
With the nearest neighbours (Å) after each atom.
Space group Fm-3m (No. 225)
One atom of each set of equivalent atoms:
La 0.0000 0.0000 0.0000 x4  8 Mn 2.72
Mn 0.2500 0.2500 0.2500 x8  4 La 2.72, 4 Re 2.72
Re 0.0000 0.0000 0.5000 x4  8 Mn 2.72

Summary:
The value obtained for the electronic total energy is -142.3 eV per cell.

(6)
DFT (GGA-PBEsol) results for a geometry-optimized La2MnRe structure.

a b c (Å): 7.1417 7.1417 7.1417
angles (deg): 90.00 90.00 90.00
With the nearest neighbours (Å) after each atom.
Space group Fm-3m (No. 225)
One atom of each set of equivalent atoms:
La 0.2500 0.2500 0.2500 x8  4 Mn 3.09, 4 Re 3.09
Mn 0.0000 0.0000 0.0000 x4  8 La 3.09
Re 0.0000 0.0000 0.5000 x4  8 La 3.09

Summary:
Its energy above the most stable polymorph in this dataset is 199 meV/atom.

(7)
DFT (GGA-PBEsol) results for a geometry-optimized La2MnRe structure.

a b c (Å): 3.0630 3.7784 8.0462
angles (deg): 90.00 95.09 90.00
With the nearest neighbours (Å) after each atom.
Space group Pm (No. 6)
One atom of each set of equivalent atoms:
La 0.0000 0.0000 0.0000 x1  1 Re 2.86, 2 Mn 2.93, 2 La 3.06
La 0.2342 0.5000 0.5883 x1  1 Mn 2.90, 2 Re 3.01, 2 La 3.06
Mn 0.4200 0.5000 0.2418 x1  2 Re 2.29
Re 0.7786 0.0000 0.3378 x1  2 Mn 2.29

Summary:
Its energy above the most stable polymorph in this dataset is 0 meV/atom.

(8)
DFT (GGA-PBEsol) results for a geometry-optimized LaMn2Rh structure.

a b c (Å): 4.1286 4.1286 14.9484
angles (deg): 90.00 90.00 120.00
With the nearest neighbours (Å) after each atom.
Space group R-3m (No. 166, hexagonal axes)
One atom of each set of equivalent atoms:
La 0.0000 0.0000 0.0000 x3  2 Mn 2.78
Mn 0.0000 0.0000 0.1857 x6  3 Rh 2.40, 3 Mn 2.45
Rh 0.0000 0.0000 0.5000 x3  6 Mn 2.40

Summary:
The value obtained for the electronic total energy is -96.6 eV per cell.

Calculated M_tot, 4.12, 3.74, 6.41, 7.49, 1.89, 4.18, 0.00, 0.00 μB per formula unit (same order as the records).